# 1
Material: TeC
Method: DFT, PBE-GGA
State: relaxed

```
TeC
1.0
-0.837 -4.815 2.386
2.951 -2.430 -3.868
3.923 0.611 2.609
Te C
4 4
Cartesian
0.588 -2.016 -0.412
1.964 -3.981 2.304
4.073 -2.654 -1.177
1.526 -5.229 -1.070
1.802 -3.154 -1.971
3.660 -5.515 0.114
2.377 -1.119 1.013
0.312 -4.092 0.489
```

Results
crystal system = tetragonal
symmetry = P4_2/mnm (136)
calculated total energy = -4.418 eV per atom
ρ = 6.599 g/cm3
excess energy over the best structure of this formula in the dataset = 1009 meV/atom
formation energy without anion corrections = 1.765 eV per atom

# 2
Material: Te2C
Method: DFT, PBE-GGA
State: relaxed

```
Te2C
1.0
-2.853 1.478 -0.664
-4.457 -11.201 -5.787
-2.641 -2.237 6.363
C Te
4 8
Cartesian
-4.041 -6.446 -1.045
-8.675 -11.567 -0.645
-1.276 -0.392 0.557
-5.910 -5.513 0.957
-3.273 -2.359 4.752
-4.933 -4.409 -0.781
-5.017 -7.550 0.693
-6.678 -9.600 -4.840
-2.325 -2.167 1.109
-5.894 -4.612 2.891
-4.057 -7.347 -2.979
-7.626 -9.792 -1.197
```

Results
crystal system = orthorhombic
symmetry = Pnma (62)
calculated total energy = -4.186 eV per atom
ρ = 5.585 g/cm3
excess energy over the best structure of this formula in the dataset = 254 meV/atom
formation energy without anion corrections = 0.983 eV per atom

# 3
Material: Te2C
Method: DFT, PBE-GGA
State: relaxed

```
Te2C
1.0
6.282 0.000 0.000
0.000 6.282 0.000
0.000 0.000 6.282
C Te
4 8
Cartesian
0.000 0.000 0.000
3.141 3.141 0.000
3.141 0.000 3.141
0.000 3.141 3.141
4.043 4.043 2.239
2.239 2.239 4.043
0.902 5.380 4.043
5.380 0.902 2.239
2.239 0.902 0.902
4.043 5.380 5.380
5.380 2.239 5.380
0.902 4.043 0.902
```

Results
crystal system = cubic
symmetry = Pa-3 (205)
calculated total energy = -3.681 eV per atom
ρ = 7.159 g/cm3
excess energy over the best structure of this formula in the dataset = 760 meV/atom
formation energy without anion corrections = 1.488 eV per atom

# 4
Material: Te8C
Method: DFT, PBE-GGA
State: relaxed

```
Te8C
1.0
-5.751 5.751 1.884
5.751 -5.751 1.884
5.751 5.751 -1.884
Te C
8 1
Cartesian
1.482 -1.482 1.884
-1.482 1.482 1.884
3.819 0.000 0.000
1.482 1.482 1.884
0.000 3.819 0.000
4.268 4.268 0.000
7.683 0.000 0.000
0.000 7.683 0.000
0.000 0.000 0.000
```

Results
crystal system = tetragonal
symmetry = I4/mmm (139)
calculated total energy = -2.989 eV per atom
ρ = 6.881 g/cm3
formation energy without anion corrections = 0.829 eV per atom

# 5
Material: TeC
Method: DFT, PBE-GGA
State: relaxed

```
TeC
1.0
-1.327 4.363 -1.406
-3.966 -0.359 2.629
2.298 1.899 3.726
Te C
3 3
Cartesian
-1.983 -0.180 1.314
1.149 0.950 1.863
-0.663 2.181 -0.703
0.486 3.131 1.160
-2.646 2.002 0.612
-0.834 0.770 3.177
```

Results
crystal system = cubic
symmetry = Pm-3m (221)
calculated total energy = -3.872 eV per atom
ρ = 6.401 g/cm3
excess energy over the best structure of this formula in the dataset = 1554 meV/atom
formation energy without anion corrections = 2.310 eV per atom

# 6
Material: TeC
Method: DFT, PBE-GGA
State: relaxed

```
TeC
1.0
2.933 -5.080 0.000
2.933 5.080 0.000
0.000 0.000 3.407
Te C
3 3
Cartesian
0.000 0.000 1.704
2.933 -1.693 0.000
2.933 1.693 0.000
1.105 1.914 1.704
3.656 0.000 1.704
1.105 -1.914 1.704
```

Results
crystal system = hexagonal
symmetry = P-62m (189)
calculated total energy = -4.278 eV per atom
ρ = 6.849 g/cm3
excess energy over the best structure of this formula in the dataset = 1148 meV/atom
formation energy without anion corrections = 1.904 eV per atom

# 7
Material: Te2C
Method: DFT, PBE-GGA
State: relaxed

```
Te2C
1.0
9.166 0.000 0.000
-4.583 7.938 0.000
0.000 0.000 5.768
C Te
4 8
Cartesian
0.000 5.292 5.054
4.583 2.646 2.170
4.583 2.646 0.714
0.000 5.292 3.598
0.000 0.000 0.000
0.000 0.000 2.884
4.583 4.719 1.442
0.000 3.218 4.326
2.787 1.609 1.442
6.379 1.609 1.442
-1.796 6.329 4.326
1.796 6.329 4.326
```

Results
crystal system = hexagonal
symmetry = P6_3/mmc (194)
calculated total energy = -3.975 eV per atom
ρ = 4.230 g/cm3
excess energy over the best structure of this formula in the dataset = 465 meV/atom
formation energy without anion corrections = 1.194 eV per atom

# 8
Material: TeC
Method: DFT, PBE-GGA
State: relaxed

```
TeC
1.0
1.979 -8.873 -2.600
4.194 -7.548 -3.853
3.667 -1.157 5.258
Te C
3 3
Cartesian
6.154 -16.158 -6.208
2.230 -1.170 2.705
4.778 -6.055 2.043
3.700 -4.245 2.053
6.465 -11.895 -1.150
5.773 -10.669 -1.077
```

Results
crystal system = monoclinic
symmetry = Cm (8)
calculated total energy = -5.297 eV per atom
ρ = 3.989 g/cm3
excess energy over the best structure of this formula in the dataset = 129 meV/atom
formation energy without anion corrections = 0.885 eV per atom

# 9
Material: TeC
Method: DFT, PBE-GGA
State: relaxed

```
TeC
1.0
-1.384 3.073 0.399
-1.126 -2.621 1.839
4.203 1.315 4.448
C Te
2 2
Cartesian
0.000 0.000 0.000
2.101 0.658 2.224
-0.162 -0.394 2.471
1.854 2.161 4.215
```

Results
crystal system = hexagonal
symmetry = P6_3/mmc (194)
calculated total energy = -4.218 eV per atom
ρ = 7.425 g/cm3
excess energy over the best structure of this formula in the dataset = 1209 meV/atom
formation energy without anion corrections = 1.965 eV per atom

# 10
Material: Te2C
Method: DFT, PBE-GGA
State: relaxed

```
Te2C
1.0
-8.262 4.707 0.221
6.437 -6.860 1.405
1.447 2.320 4.700
Te C
4 2
Cartesian
-6.747 6.109 3.780
4.786 -2.967 4.709
-5.164 3.133 1.616
6.368 -5.942 2.545
-1.557 2.025 4.198
1.179 -1.858 2.127
```

Results
crystal system = orthorhombic
symmetry = Cmcm (63)
calculated total energy = -3.799 eV per atom
ρ = 5.346 g/cm3
excess energy over the best structure of this formula in the dataset = 642 meV/atom
formation energy without anion corrections = 1.370 eV per atom

# 11
Material: Te2C
Method: DFT, PBE-GGA
State: relaxed

```
Te2C
1.0
-0.826 -4.745 3.935
3.655 -3.603 3.514
-1.631 5.671 -1.964
C Te
1 2
Cartesian
1.414 -4.174 3.725
0.357 -1.054 0.941
2.471 -7.293 6.508
```

Results
crystal system = tetragonal
symmetry = I4/mmm (139)
calculated total energy = -3.403 eV per atom
ρ = 7.134 g/cm3
excess energy over the best structure of this formula in the dataset = 1037 meV/atom
formation energy without anion corrections = 1.766 eV per atom

# 12
Material: TeC2
Method: DFT, PBE-GGA
State: relaxed

```
TeC2
1.0
2.108 -3.651 0.000
2.108 3.651 0.000
0.000 0.000 4.802
Te C
2 4
Cartesian
2.108 -1.217 1.201
2.108 1.217 3.602
0.000 0.000 0.000
0.000 0.000 2.401
2.108 1.217 1.201
2.108 -1.217 3.602
```

Results
crystal system = hexagonal
symmetry = P6_3/mmc (194)
calculated total energy = -4.125 eV per atom
ρ = 6.812 g/cm3
excess energy over the best structure of this formula in the dataset = 2153 meV/atom
formation energy without anion corrections = 3.072 eV per atom